Computed, not measured: a geometry-optimized Os3IBr structure at the PBE-GGA level of DFT.

Output
Total energy = -4.40 eV/atom
Volume = 24.282 Å³/atom
E above lowest polymorph = 115 kJ/mol of formula units

a b c (Å): 4.9517 4.9517 4.9517
angles (deg): 90.00 90.00 90.00
With the nearest neighbours (Å) after each atom.
Element x y z (fractional)
Os 0.0000 0.0000 0.5000  2 I 2.48
Os 0.0000 0.5000 0.0000  2 I 2.48
Os 0.5000 0.0000 0.0000  2 I 2.48
I 0.0000 0.0000 0.0000  6 Os 2.48
Br 0.5000 0.5000 0.5000  12 Os 3.50

***

Computed, not measured: a geometry-optimized ZrIn2Tc structure at the PBE-GGA level of DFT.

Output
Total energy = -5.92 eV/atom
Volume = 20.317 Å³/atom
Formation enthalpy at 0 K = 0.17 eV per atom
E above lowest polymorph = 89 kJ/mol of formula units

a b c (Å): 9.7431 9.7431 9.7431
angles (deg): 18.49 18.49 18.49
With the nearest neighbours (Å) after each atom.
Element x y z (fractional)
Zr 0.0000 0.0000 0.0000  6 Zr 3.13, 6 In 3.17
In 0.2425 0.2425 0.2425  3 Tc 2.83, 6 In 3.13
In 0.7575 0.7575 0.7575  3 Tc 2.83, 6 In 3.13
Tc 0.5000 0.5000 0.5000  6 In 2.83, 6 Tc 3.13

***

Computed, not measured: a geometry-optimized Mg2GeBPd6 structure at the PBE-GGA level of DFT.

Output
Total energy = -5.05 eV/atom
Volume = 15.917 Å³/atom
Formation enthalpy at 0 K = -0.49 eV per atom

a b c (Å): 5.5222 5.7654 5.8331
angles (deg): 72.68 73.41 66.10
With the nearest neighbours (Å) after each atom.
Element x y z (fractional)
Mg 0.2093 0.3040 0.2820  7 Pd 2.69-2.98, 1 Ge 2.99
Mg 0.7907 0.6960 0.7180  7 Pd 2.69-2.98, 1 Ge 2.99
Ge 0.5000 0.5000 0.5000  6 Pd 2.41-2.59
B 0.0000 0.0000 0.0000  6 Pd 2.06-2.16
Pd 0.1352 0.8497 0.3270  1 B 2.06
Pd 0.2716 0.6649 0.8759  1 B 2.09
Pd 0.3129 0.1632 0.8226  1 B 2.16
Pd 0.6871 0.8368 0.1774  1 B 2.16
Pd 0.7284 0.3351 0.1241  1 B 2.09
Pd 0.8648 0.1503 0.6730  1 B 2.06

***

Computed, not measured: a geometry-optimized Pu2TeS structure at the PBE-GGA level of DFT.

Output
Total energy = -10.31 eV/atom
Volume = 26.163 Å³/atom
E above lowest polymorph = 26 kJ/mol of formula units

a b c (Å): 4.0998 5.9725 8.5478
angles (deg): 90.00 90.00 90.00
With the nearest neighbours (Å) after each atom.
Element x y z (fractional)
Pu 0.2500 0.2500 0.0998  4 S 2.78-2.99
Pu 0.2500 0.2500 0.6543  2 S 2.81, 4 Te 3.00-3.12
Pu 0.7500 0.7500 0.3457  2 S 2.81, 4 Te 3.00-3.12
Pu 0.7500 0.7500 0.9002  4 S 2.78-2.99
Te 0.2500 0.7500 0.6215  6 Pu 3.00-3.14
Te 0.7500 0.2500 0.3785  6 Pu 3.00-3.14
S 0.2500 0.7500 0.1201  6 Pu 2.78-2.99
S 0.7500 0.2500 0.8799  6 Pu 2.78-2.99

***

Density of states at the Fermi level for every record listed, in sequence, given in states/eV per atom: 1.135 1.212 0.217 4.704.